Li2As2Pd7: relaxed, PBE.

Values from the calculation:
space group: C2/m (12)
V: 175.38 Å³ per cell
density: 8.604 g cm⁻³
ΔE_f: -377 meV/atom
E: -4.88 eV/atom
crystal system: monoclinic

Lattice parameters (Å, degrees): 6.0490 6.0490 5.2260 103.78 103.78 99.43
Last column: nearest neighbours and their distance in Å.
Atoms (fractional coordinates):
1 Li 0.2017 0.2017 0.0450  7 Pd 2.62-2.93
2 Li 0.7983 0.7983 0.9550  7 Pd 2.62-2.93
3 As 0.2865 0.7135 0.0000  6 Pd 2.46-2.50
4 As 0.7135 0.2865 0.0000  6 Pd 2.46-2.50
5 Pd 0.0000 0.0000 0.5000  2 Li 2.70, 6 Pd 2.73-2.94
6 Pd 0.0785 0.5691 0.3004  2 As 2.46-2.47, 1 Li 2.62, 2 Pd 2.73
7 Pd 0.4034 0.4034 0.6857  2 As 2.50
8 Pd 0.4309 0.9215 0.6996  2 As 2.46-2.47, 1 Li 2.62, 2 Pd 2.73
9 Pd 0.5691 0.0785 0.3004  2 As 2.46-2.47, 1 Li 2.62, 2 Pd 2.73
10 Pd 0.5966 0.5966 0.3143  2 As 2.50
11 Pd 0.9215 0.4309 0.6996  2 As 2.46-2.47, 1 Li 2.62, 2 Pd 2.73

=====

NaEr2Sc: relaxed, PBE.

Values from the calculation:
space group: R-3m (166)
V: 368.01 Å³ per cell
density: 5.448 g cm⁻³
ΔE_f: 165 meV/atom
E above lowest polymorph: 0.018 eV/atom
E: -4.03 eV/atom
crystal system: trigonal

Lattice parameters (Å, degrees): 3.3960 3.3960 36.8464 90.00 90.00 120.00
Last column: nearest neighbours and their distance in Å.
Atoms (fractional coordinates):
1 Na 0.0000 0.0000 0.0000  6 Na 3.40, 2 Er 3.49
2 Na 0.3333 0.6667 0.6667  6 Na 3.40, 2 Er 3.49
3 Na 0.6667 0.3333 0.3333  6 Na 3.40, 2 Er 3.49
4 Er 0.0000 0.0000 0.0946  3 Sc 3.30, 6 Er 3.40, 1 Na 3.49
5 Er 0.0000 0.0000 0.9054  3 Sc 3.30, 6 Er 3.40, 1 Na 3.49
6 Er 0.3333 0.6667 0.5720  3 Sc 3.30, 6 Er 3.40, 1 Na 3.49
7 Er 0.3333 0.6667 0.7613  3 Sc 3.30, 6 Er 3.40, 1 Na 3.49
8 Er 0.6667 0.3333 0.2387  3 Sc 3.30, 6 Er 3.40, 1 Na 3.49
9 Er 0.6667 0.3333 0.4280  3 Sc 3.30, 6 Er 3.40, 1 Na 3.49
10 Sc 0.0000 0.0000 0.5000  6 Er 3.30, 6 Sc 3.40
11 Sc 0.3333 0.6667 0.1667  6 Er 3.30, 6 Sc 3.40
12 Sc 0.6667 0.3333 0.8333  6 Er 3.30, 6 Sc 3.40